Compound: Sr2Li2Ca
Source: Alexandria
Functional: SCAN
Structure: single point on PBEsol structure

Calculated values
Final energy = -11.724 eV per atom
Energy above the lowest structure with this stoichiometry = 6.0 kJ/mol of atoms
ΔH_f (0 K) = 0.075 eV per atom

POSCAR file:
```
Sr2Li2Ca
1.0
-1.997 1.997 11.809
1.997 -1.997 11.809
1.997 1.997 -11.809
Sr Li Ca
2 2 1
direct
0.124 0.124 0.000
0.876 0.876 0.000
0.250 0.750 0.500
0.750 0.250 0.500
0.500 0.500 0.000
```

Compound: KRuCl2
Source: Alexandria
Functional: SCAN
Structure: single point on PBEsol structure

Calculated values
Energy relative to the elements, uncorrected = -0.50 eV/atom
Final energy = -15.274 eV per atom

POSCAR file:
```
KRuCl2
1.0
4.964 0.000 0.000
0.000 4.964 0.000
0.000 0.000 3.221
K Ru Cl
1 1 2
direct
0.000 0.000 0.000
0.500 0.500 0.000
0.000 0.500 0.500
0.500 0.000 0.500
```

Compound: Tl2AgRu
Source: Alexandria
Functional: SCAN
Structure: single point on PBEsol structure

Calculated values
Final energy = -52.322 eV per atom
Energy above the lowest structure with this stoichiometry = 0.0 kJ/mol of atoms
ΔH_f (0 K) = 0.406 eV per atom

POSCAR file:
```
Tl2AgRu
1.0
-1.528 2.233 5.957
1.528 -2.233 5.957
1.528 2.233 -5.957
Tl Ag Ru
2 1 1
direct
0.000 0.000 0.000
0.715 0.215 0.500
0.321 0.821 0.500
0.519 0.519 0.000
```

Compound: Sb2OsCl
Source: Alexandria
Functional: SCAN
Structure: single point on PBEsol structure

Calculated values
Energy relative to the elements, uncorrected = 0.67 eV/atom
Final energy = -37.928 eV per atom
Energy above the lowest structure with this stoichiometry = 1.7 kJ/mol of atoms

POSCAR file:
```
Sb2OsCl
1.0
-1.639 3.051 4.536
1.639 -3.051 4.536
1.639 3.051 -4.536
Sb Os Cl
2 1 1
direct
0.226 0.226 0.000
0.774 0.774 0.000
0.000 0.500 0.500
0.500 0.000 0.500
```

Compound: AgH2Rh
Source: Alexandria
Functional: SCAN
Structure: single point on PBEsol structure

Calculated values
Final energy = -17.911 eV per atom

POSCAR file:
```
AgH2Rh
1.0
-2.068 2.068 4.416
2.068 -2.068 4.416
2.068 2.068 -4.416
Ag H Rh
2 4 2
direct
0.000 0.000 0.000
0.750 0.250 0.500
0.184 0.625 0.059
0.375 0.434 0.559
0.566 0.125 0.941
0.875 0.816 0.441
0.250 0.750 0.500
0.500 0.500 0.000
```

Compound: YMg2Os
Source: Alexandria
Functional: SCAN
Structure: single point on PBEsol structure

Calculated values
Final energy = -27.130 eV per atom
Energy above the lowest structure with this stoichiometry = 28.5 kJ/mol of atoms
ΔH_f (0 K) = 0.288 eV per atom

POSCAR file:
```
YMg2Os
1.0
2.816 -4.545 0.000
2.816 4.545 0.000
0.000 0.000 3.009
Y Mg Os
1 2 1
direct
0.000 0.000 0.000
0.000 0.500 0.500
0.500 0.000 0.500
0.500 0.500 0.000
```

Compound: CaFe2Ni
Source: Alexandria
Functional: SCAN
Structure: single point on PBEsol structure

Calculated values
Final energy = -14.840 eV per atom
ΔH_f (0 K) = 0.684 eV per atom

POSCAR file:
```
CaFe2Ni
1.0
1.350 0.779 8.800
-1.350 0.779 8.800
0.000 -1.559 8.800
Ca Fe Ni
1 2 1
direct
0.000 0.000 0.000
0.239 0.239 0.239
0.761 0.761 0.761
0.500 0.500 0.500
```

Compound: Tm
Source: Alexandria
Functional: SCAN
Structure: single point on PBEsol structure

Calculated values
Final energy = -51.832 eV per atom
Energy above the lowest structure with this stoichiometry = 0.0 kJ/mol of atoms
ΔH_f (0 K) = 0.000 eV per atom

POSCAR file:
```
Tm
1.0
3.492 0.000 0.000
-1.746 3.024 0.000
0.000 0.000 5.418
Tm
2
direct
0.333 0.667 0.250
0.667 0.333 0.750
```